No. 1
Material: LiPrTmOs
Method: DFT, PBE
State: relaxed

Structure (CIF):
```
data_LiPrTmOs
_space_group_name_H-M_alt 'F -4 3 m'
_space_group_IT_number 216
_space_group_name_Hall 'F -4 2 3'
_cell_length_a 7.024
_cell_length_b 7.024
_cell_length_c 7.024
_cell_angle_alpha 90.00
_cell_angle_beta 90.00
_cell_angle_gamma 90.00
loop_
_atom_site_label
_atom_site_fract_x
_atom_site_fract_y
_atom_site_fract_z
Li1 0.000 0.000 0.000
Pr1 0.250 0.250 0.250
Tm1 0.250 0.250 0.750
Os1 0.000 0.000 0.500
```

## Properties
- magnetization (μB/atom) = 0.0000
- V (Å³/cell) = 346.48
- DFT formation energy (eV/atom) = -0.146

=====

No. 2
Material: BaGdPb2
Method: DFT, PBE
State: relaxed

Structure (CIF):
```
data_BaGdPb2
_space_group_name_H-M_alt 'P 4/m m m'
_space_group_IT_number 123
_space_group_name_Hall '-P 4 2'
_cell_length_a 4.205
_cell_length_b 4.205
_cell_length_c 7.730
_cell_angle_alpha 90.00
_cell_angle_beta 90.00
_cell_angle_gamma 90.00
loop_
_atom_site_label
_atom_site_fract_x
_atom_site_fract_y
_atom_site_fract_z
Ba1 0.000 0.000 0.000
Gd1 0.000 0.000 0.500
Pb1 0.500 0.500 0.293
```

## Properties
- magnetization (μB/atom) = 1.7976
- V (Å³/cell) = 136.69
- energy above the most stable polymorph in this dataset (eV per formula unit) = 0.00
- DFT formation energy (eV/atom) = -0.496

=====

No. 3
Material: Tl2PtPb
Method: DFT, PBE
State: relaxed

Structure (CIF):
```
data_Tl2PtPb
_space_group_name_H-M_alt 'I -4 m 2'
_space_group_IT_number 119
_space_group_name_Hall 'I -4 -2'
_cell_length_a 5.103
_cell_length_b 5.103
_cell_length_c 7.729
_cell_angle_alpha 90.00
_cell_angle_beta 90.00
_cell_angle_gamma 90.00
loop_
_atom_site_label
_atom_site_fract_x
_atom_site_fract_y
_atom_site_fract_z
Tl1 0.000 0.000 0.000
Tl2 0.000 0.500 0.250
Pt1 0.000 0.000 0.500
Pb1 0.000 0.500 0.750
```

## Properties
- magnetization (μB/atom) = 0.0000
- V (Å³/cell) = 201.28
- energy above the most stable polymorph in this dataset (eV per formula unit) = 0.74
- DFT formation energy (eV/atom) = 0.134